VASP calculation (PBE) on an optimized crystal structure of Fe2PPt.

Cell lengths 7.9380, 7.9380, 7.9380 Å; angles 19.62, 19.62, 19.62 degrees
Sites, in units of the cell vectors:
Fe1 0.2391 0.2391 0.2391
Fe2 0.7609 0.7609 0.7609
P1 0.5000 0.5000 0.5000
Pt1 0.0000 0.0000 0.0000

The space group is R-3m. Its total energy is -7.218 eV/atom.